# 1
First-principles (PBE) data for a relaxed Pm3CdSi2Pd9 crystal, as listed in Alexandria via LeMat-Bulk. Values from VASP.

Output
- formation energy without anion corrections (meV/atom) = -597
- symmetry = P-3m1
- total moment (μB/cell) = 0.0

```
&SYSTEM
  ibrav = 0, nat = 15, ntyp = 4
/
ATOMIC_SPECIES
Pd 106.42 Pd.upf
Pm 145.00 Pm.upf
Cd 112.41 Cd.upf
Si 28.09 Si.upf
CELL_PARAMETERS angstrom
5.7902 0.0000 0.0000
-2.8951 5.0145 0.0000
0.0000 0.0000 10.7646
ATOMIC_POSITIONS angstrom
Pd 2.8951 3.3847 7.5404
Pd -1.4476 2.5072 0.0000
Pd 1.4837 4.1996 3.2242
Pd 4.3788 0.8149 7.5404
Pd 1.4115 0.8149 7.5404
Pd 2.8951 0.0000 0.0000
Pd 1.4476 2.5072 0.0000
Pd 0.0000 1.6298 3.2242
Pd -1.4837 4.1996 3.2242
Pm 0.0000 3.3430 6.6236
Pm 0.0000 0.0000 0.0000
Pm 2.8951 1.6715 4.1410
Cd 0.0000 0.0000 5.3823
Si 2.8951 1.6715 9.0886
Si 0.0000 3.3430 1.6759
```

# 2
First-principles (PBE) data for a relaxed PmPrCoNi crystal, as listed in Alexandria via LeMat-Bulk. Values from VASP.

Output
- symmetry = F-43m
- total moment (μB/cell) = 0.0
- formation enthalpy at 0 K (eV per atom) = -0.081

```
&SYSTEM
  ibrav = 0, nat = 4, ntyp = 4
/
ATOMIC_SPECIES
Pr 140.91 Pr.upf
Co 58.93 Co.upf
Pm 145.00 Pm.upf
Ni 58.69 Ni.upf
CELL_PARAMETERS angstrom
4.9073 0.0000 0.0000
2.4537 4.2499 0.0000
2.4537 1.4166 4.0068
ATOMIC_POSITIONS angstrom
Pr 0.0000 0.0000 0.0000
Co 7.3610 4.2499 3.0051
Pm 4.9073 2.8332 2.0034
Ni 2.4537 1.4166 1.0017
```

# 3
First-principles (PBE) data for a relaxed UNi4Ge2 crystal, as listed in Alexandria via LeMat-Bulk. Values from VASP.

Output
- symmetry = P4_2/mnm
- total moment (μB/cell) = 3.9
- formation enthalpy at 0 K (eV per atom) = -0.327

```
&SYSTEM
  ibrav = 0, nat = 14, ntyp = 3
/
ATOMIC_SPECIES
Ni 58.69 Ni.upf
Ge 72.64 Ge.upf
U 238.03 U.upf
CELL_PARAMETERS angstrom
-1.3408 -2.0485 -2.9837
3.5606 -5.7801 2.3683
-5.7254 -1.9299 3.8977
ATOMIC_POSITIONS angstrom
Ni 0.0406 -6.7274 2.1041
Ni -1.6744 -1.2256 1.5938
Ni 0.5962 -4.7487 0.4960
Ni -0.4904 -6.4845 4.6722
Ni -4.1017 -5.0099 2.7863
Ni -3.5461 -3.0312 1.1782
Ni 0.7087 -2.2137 1.2013
Ni -2.8735 -5.4963 5.0647
Ge -1.2853 -3.2143 0.2881
Ge 1.5554 -4.9487 2.6986
Ge -2.2202 -6.5442 2.9942
Ge -3.7202 -2.7613 3.5674
U -1.0824 -3.8550 3.1330
U -0.6704 -1.0242 -1.4919
```

# 4
First-principles (PBE) data for a relaxed Np2Ga2Se7 crystal, as listed in Alexandria via LeMat-Bulk. Values from VASP.

Output
- formation energy without anion corrections (meV/atom) = -633
- symmetry = C2/m
- total moment (μB/cell) = 6.0

```
&SYSTEM
  ibrav = 0, nat = 11, ntyp = 3
/
ATOMIC_SPECIES
Se 78.96 Se.upf
Np 237.00 Np.upf
Ga 69.72 Ga.upf
CELL_PARAMETERS angstrom
6.6437 -0.2095 -0.2395
-0.6954 7.1418 -0.3020
-0.6954 -1.2493 7.0382
ATOMIC_POSITIONS angstrom
Se 1.1944 3.0961 0.3475
Se 0.7835 3.5160 4.0194
Se 4.0585 2.5869 6.1492
Se 1.1944 -0.0674 3.1148
Se 4.4694 2.1670 2.4773
Se 4.0585 5.7504 3.3819
Se 3.3218 -0.1047 -0.1197
Np -0.6954 1.2880 4.8186
Np -0.6954 4.6045 1.9175
Ga 2.3439 1.3147 1.5030
Ga 2.9089 4.3683 4.9937
```

> The highest total moment belongs to which entry?

Np2Ga2Se7

Please write out number 3 again, unchanged.
First-principles (PBE) data for a relaxed UNi4Ge2 crystal, as listed in Alexandria via LeMat-Bulk. Values from VASP.

Output
- symmetry = P4_2/mnm
- total moment (μB/cell) = 3.9
- formation enthalpy at 0 K (eV per atom) = -0.327

```
&SYSTEM
  ibrav = 0, nat = 14, ntyp = 3
/
ATOMIC_SPECIES
Ni 58.69 Ni.upf
Ge 72.64 Ge.upf
U 238.03 U.upf
CELL_PARAMETERS angstrom
-1.3408 -2.0485 -2.9837
3.5606 -5.7801 2.3683
-5.7254 -1.9299 3.8977
ATOMIC_POSITIONS angstrom
Ni 0.0406 -6.7274 2.1041
Ni -1.6744 -1.2256 1.5938
Ni 0.5962 -4.7487 0.4960
Ni -0.4904 -6.4845 4.6722
Ni -4.1017 -5.0099 2.7863
Ni -3.5461 -3.0312 1.1782
Ni 0.7087 -2.2137 1.2013
Ni -2.8735 -5.4963 5.0647
Ge -1.2853 -3.2143 0.2881
Ge 1.5554 -4.9487 2.6986
Ge -2.2202 -6.5442 2.9942
Ge -3.7202 -2.7613 3.5674
U -1.0824 -3.8550 3.1330
U -0.6704 -1.0242 -1.4919
```